A:
Compound: TlBrCl2
Source: Alexandria
Functional: PBEsol
Structure: optimized geometry

Results
The value obtained for the density of states at the Fermi level is 0.0 states/eV/f.u.

Cell lengths 9.2187, 4.8618, 5.3179 Å; angles 90.00, 96.05, 90.00 degrees
Closest atoms and distances in Å follow each position.
Space group C2/m (No. 12)
Inequivalent atoms, fractional coordinates:
Tl: 0.0000 0.0000 0.0000 x2  6 Cl 3.17-3.21
Br: 0.0000 0.5000 0.5000 x2  2 Cl 2.39
Cl: 0.1917 0.5000 0.2296 x4  1 Br 2.39

---

B:
Compound: TlBrCl2
Source: Alexandria
Functional: PBEsol
Structure: optimized geometry

Results
The value obtained for the density of states at the Fermi level is 0.0 states/eV/f.u.

Cell lengths 4.9910, 4.9910, 22.2484 Å; angles 90.00, 90.00, 120.00 degrees
Closest atoms and distances in Å follow each position.
Space group R-3m (No. 166, hexagonal axes)
Inequivalent atoms, fractional coordinates:
Tl: 0.0000 0.0000 0.0000 x3  6 Cl 3.17
Br: 0.0000 0.0000 0.5000 x3  2 Cl 2.39
Cl: 0.0000 0.0000 0.3926 x6  1 Br 2.39

---

Most stable one: A, least stable one: B.

---

A:
Compound: YBr2Cl
Source: Alexandria
Functional: PBEsol
Structure: optimized geometry

Results
The value obtained for the density of states at the Fermi level is 0.0 states/eV/f.u.

Cell lengths 10.9482, 3.7045, 6.8759 Å; angles 90.00, 116.22, 90.00 degrees
Closest atoms and distances in Å follow each position.
Space group Cm (No. 8)
Inequivalent atoms, fractional coordinates:
Y: 0.0000 0.0000 0.0000 x2  2 Cl 2.64, 4 Br 2.79-2.85
Br: 0.3034 0.0000 0.0051 x2  2 Y 2.85
Br: 0.4839 0.0000 0.6867 x2  2 Y 2.79
Cl: 0.1477 0.5000 0.2772 x2  2 Y 2.64

---

B:
Compound: YBr2Cl
Source: Alexandria
Functional: PBEsol
Structure: optimized geometry

Results
The value obtained for the density of states at the Fermi level is 0.0 states/eV/f.u.

Cell lengths 3.9700, 5.5251, 13.0760 Å; angles 90.00, 90.00, 90.00 degrees
Closest atoms and distances in Å follow each position.
Space group Amm2 (No. 38)
Inequivalent atoms, fractional coordinates:
Y: 0.0000 0.0000 0.0000 x2  2 Cl 2.62, 4 Br 2.76-2.78
Br: 0.0000 0.0000 0.5068 x2  2 Y 2.76
Br: 0.5000 0.0000 0.8513 x2  2 Y 2.78
Cl: 0.5000 0.0000 0.1312 x2  2 Y 2.62

---

Most stable one: B, least stable one: A.

---

A:
Compound: YBr2Cl
Source: Alexandria
Functional: PBEsol
Structure: optimized geometry

Results
The value obtained for the density of states at the Fermi level is 0.0 states/eV/f.u.

Cell lengths 4.5147, 4.5147, 19.9811 Å; angles 90.00, 90.00, 120.00 degrees
Closest atoms and distances in Å follow each position.
Space group R3m (No. 160, hexagonal axes)
Inequivalent atoms, fractional coordinates:
Y: 0.0000 0.0000 0.0000 x3  3 Cl 2.61
Br: 0.0000 0.0000 0.2427 x3  3 Cl 3.17, 3 Y 3.17
Br: 0.0000 0.0000 0.4233 x3  3 Y 3.17, 3 Cl 3.17
Cl: 0.0000 0.0000 0.6662 x3  3 Y 2.61

---

B:
Compound: YBr2Cl
Source: Alexandria
Functional: PBEsol
Structure: optimized geometry

Results
The value obtained for the density of states at the Fermi level is 0.0 states/eV/f.u.

Cell lengths 5.2222, 13.9361, 4.0334 Å; angles 90.00, 90.00, 90.00 degrees
Closest atoms and distances in Å follow each position.
Space group Cmmm (No. 65)
Inequivalent atoms, fractional coordinates:
Y: 0.0000 0.0000 0.0000 x2  2 Cl 2.61, 4 Br 2.78
Br: 0.0000 0.1373 0.5000 x4  2 Y 2.78
Cl: 0.0000 0.5000 0.0000 x2  2 Y 2.61

---

Most stable one: B, least stable one: A.